Record 1
DFT (GGA-PBE) results for an optimized crystal structure of NbFeAs2.

Cell: 4.433 4.433 4.433 Å, 60.00 60.00 60.00°
Element x y z (fractional)
1 Nb 0.500 0.500 0.500
2 As 0.250 0.250 0.250
3 As 0.750 0.750 0.750
4 Fe 0.000 0.000 0.000

Crystal system ... cubic
Mass density ... 8.1 g/cm3
Total magnetic moment ... 1.4 μB/cell
Calculated volume ... 62 Å³ per cell
Final energy ... -7.00 eV per atom
ΔE_f ... -0.05 eV per atom


Record 2
DFT (GGA-PBE) results for an optimized crystal structure of NbFe2As2.

Cell: 7.014 7.014 2.909 Å, 90.00 90.00 90.00°
Element x y z (fractional)
1 Nb 0.000 0.000 0.000
2 Nb 0.500 0.500 0.000
3 As 0.345 0.845 0.000
4 As 0.845 0.655 0.000
5 As 0.655 0.155 0.000
6 As 0.155 0.345 0.000
7 Fe 0.138 0.638 0.500
8 Fe 0.638 0.862 0.500
9 Fe 0.862 0.362 0.500
10 Fe 0.362 0.138 0.500

Crystal system ... tetragonal
Mass density ... 8.2 g/cm3
Total magnetic moment ... 7.2 μB/cell
Calculated volume ... 143 Å³ per cell
Final energy ... -7.34 eV per atom
ΔE_f ... -0.08 eV per atom


Record 3
DFT (GGA-PBE) results for an optimized crystal structure of NbFe2As.

Cell: 6.590 6.590 5.369 Å, 52.14 52.14 90.00°
Element x y z (fractional)
1 Nb 0.000 0.000 0.000
2 Nb 0.750 0.250 0.500
3 As 0.500 0.500 0.000
4 As 0.250 0.750 0.500
5 Fe 0.589 0.125 0.250
6 Fe 0.161 0.625 0.250
7 Fe 0.375 0.411 0.750
8 Fe 0.875 0.839 0.750

Crystal system ... tetragonal
Mass density ... 8.0 g/cm3
Total magnetic moment ... 0.0 μB/cell
Calculated volume ... 116 Å³ per cell
Final energy ... -7.52 eV per atom
ΔE_f ... 0.40 eV per atom


Question: Which value of final energy does entry 1 give?
Answer: -7.00 eV per atom